Record 1
5
Lattice="-1.2438 -2.3044 -4.3566 -1.4722 -4.1143 2.5966 -4.7035 1.8972 0.3393" Properties=species:S:1:pos:R:3 comment="Ag3WN, optimized geometry, DFT PBE" raw_formation_energy_mev_per_atom=2932 volume_a3_per_atom=26.3 e_above_lowest_polymorph_ev_per_atom=1.402 energy_ev_per_cell=-15.2 pbc="T T T"
Ag -0.6219 -1.1522 -2.1783
Ag -2.3518 0.9486 0.1697
Ag -0.7361 -2.0572 1.2983
W 0.0000 0.0000 0.0000
N -3.7098 -2.2608 -0.7103

***

Record 2
5
Lattice="3.8910 0.0000 0.0000 0.0000 3.8910 0.0000 0.0000 0.0000 3.8910" Properties=species:S:1:pos:R:3 comment="AgWN3, optimized geometry, DFT PBE" raw_formation_energy_mev_per_atom=2696 volume_a3_per_atom=11.8 energy_ev_per_cell=-27.3 pbc="T T T"
Ag 0.0000 0.0000 0.0000
N 1.9455 0.0000 0.0000
N 0.0000 0.0000 1.9455
N 0.0000 1.9455 0.0000
W 1.9455 1.9455 1.9455

***

Record 3
4
Lattice="0.0000 2.7760 2.7760 2.7760 0.0000 2.7760 2.7760 2.7760 0.0000" Properties=species:S:1:pos:R:3 comment="AgWN2, optimized geometry, DFT PBE" raw_formation_energy_mev_per_atom=1324 volume_a3_per_atom=10.7 e_above_lowest_polymorph_ev_per_atom=1.261 energy_ev_per_cell=-27.2 pbc="T T T"
W 2.7760 2.7760 2.7760
N 1.3880 1.3880 1.3880
N 4.1639 4.1639 4.1639
Ag 0.0000 0.0000 0.0000

***

Record 4
5
Lattice="-1.3678 1.1809 -3.5427 -0.4036 -3.7975 -1.1100 -3.7125 -0.0223 1.4259" Properties=species:S:1:pos:R:3 comment="AgWN3, optimized geometry, DFT PBE" raw_formation_energy_mev_per_atom=713 volume_a3_per_atom=12.6 energy_ev_per_cell=-37.2 pbc="T T T"
Ag -2.7419 -1.3195 -1.6134
W 0.0000 0.0000 0.0000
N -1.8562 -0.0111 0.7130
N -0.6839 0.5905 -1.7714
N -0.2018 -1.8988 -0.5550

***

Record 5
4
Lattice="-5.9917 1.9627 2.7132 -4.3826 1.2386 5.1354 -4.0663 3.9409 3.8793" Properties=species:S:1:pos:R:3 comment="AgWN2, optimized geometry, DFT PBE" raw_formation_energy_mev_per_atom=64 volume_a3_per_atom=12.9 e_above_lowest_polymorph_ev_per_atom=0.000 energy_ev_per_cell=-32.2 pbc="T T T"
W -7.2203 3.5711 5.8640
Ag 0.0000 0.0000 0.0000
N -1.5697 0.7764 1.2748
N -12.8709 6.3658 10.4531

***

Record 6
5
Lattice="4.3922 0.0000 0.0000 0.0000 4.3922 0.0000 0.0000 0.0000 4.3922" Properties=species:S:1:pos:R:3 comment="YAgN3, optimized geometry, DFT PBE" raw_formation_energy_mev_per_atom=1590 volume_a3_per_atom=16.9 energy_ev_per_cell=-26.3 pbc="T T T"
N 0.0000 2.1961 0.0000
N 0.0000 0.0000 2.1961
N 2.1961 0.0000 0.0000
Ag 2.1961 2.1961 2.1961
Y 0.0000 0.0000 0.0000

***

Record 7
4
Lattice="-2.3997 2.5794 2.2587 0.4310 4.1436 -0.3972 -2.9956 2.2456 -1.8701" Properties=species:S:1:pos:R:3 comment="YAgN2, optimized geometry, DFT PBE" raw_formation_energy_mev_per_atom=320 volume_a3_per_atom=13.0 e_above_lowest_polymorph_ev_per_atom=0.217 energy_ev_per_cell=-24.7 pbc="T T T"
N -3.7232 6.7265 -0.0065
N -1.2411 2.2422 -0.0022
Y 0.0000 0.0000 0.0000
Ag -2.4821 4.4843 -0.0043

***

Record 8
80
Lattice="-1.8309 11.2206 -7.1559 -1.9825 -10.7042 -7.8710 -8.7249 -0.2727 10.2110" Properties=species:S:1:pos:R:3 comment="Y12Ag3N5, optimized geometry, DFT PBE" raw_formation_energy_mev_per_atom=-759 volume_a3_per_atom=23.3 energy_ev_per_cell=-571.8 pbc="T T T"
Y -2.2615 0.0168 -5.0505
Y -10.2155 -3.3679 -0.7137
Y -10.6575 3.4292 -1.7547
Y -7.2137 9.0332 -1.0493
Y -6.3406 -3.0237 -7.0751
Y -2.4780 -5.1132 -5.9312
Y -5.8052 3.6844 -5.5937
Y -3.1000 -1.9113 -7.8593
Y -2.3228 3.6117 -4.1022
Y -1.8809 -3.1855 -3.0612
Y -7.9390 -4.3587 5.0554
Y -3.4113 -0.5100 -12.7830
Y -4.1049 1.3355 -2.1028
Y -5.7715 -5.1424 -4.3371
Y -10.9039 -6.3926 0.9256
Y -6.6217 0.2072 0.0656
Y -3.5178 4.2657 0.2267
Y -7.7607 1.2525 -7.6156
Y -6.4526 6.6050 -3.7605
Y -6.0858 -6.3613 -1.0554
Y -4.7777 -1.0087 2.7997
Y -5.9166 0.0366 -4.8815
Y -5.1061 -2.0818 -2.2047
Y -2.2648 -1.0582 -0.0357
Y -2.9748 -8.7088 -6.7379
Y -10.2736 1.3020 -4.7802
Y -6.6123 0.9531 5.1398
Y -7.4322 2.3256 -2.6111
Y -6.7669 5.3862 -0.4788
Y -6.1977 3.2675 2.2592
Y -1.6344 6.6363 -5.7414
Y -5.9260 -0.7094 -9.9557
Y -8.4335 -1.0918 -2.7131
Y -8.4844 -1.2752 2.9220
Y -9.5635 8.9526 1.9220
Y -9.4383 2.1550 3.0434
Y -5.3247 -8.7895 -3.7666
Y -7.3450 -6.5837 2.2118
Y -4.5994 4.6025 -9.8712
Y -2.8919 6.6628 -2.4661
Y -9.0205 -4.0219 -5.0426
Y -5.1933 6.8274 -7.0277
Y -9.1270 0.7537 7.9671
Y -10.2768 0.2269 0.2346
Y -10.0604 5.3570 1.1153
Y -6.7331 -3.4406 0.7778
Y -9.6464 -6.4190 -2.3498
Y -4.0539 1.5189 -7.7379
N -6.6542 -1.3793 1.6413
N -5.8841 1.6231 -6.4572
N -4.9876 -6.7278 -2.9686
N -7.5507 6.9716 -1.8473
N -9.3848 2.9234 -3.5225
N 0.0000 0.0000 0.0000
N -5.0603 -2.4214 -8.8068
N -0.9155 5.6103 -3.5780
N -4.3624 -0.1363 5.1055
N -0.9913 -5.3521 -3.9355
N -10.2655 -1.2538 -1.4411
N -1.9067 0.2582 -7.5134
N -3.1535 -2.6797 -1.2934
N -7.4781 2.6652 3.9909
N -5.2779 5.4740 1.5275
N -2.2728 1.4976 -3.3748
N -3.2831 -6.5951 -7.3997
N -5.3537 -5.4884 1.1700
N -9.2553 6.8389 2.5838
N -6.2692 0.1219 -2.4079
Ag -4.1796 1.7558 -10.8883
Ag -7.6266 -3.9908 -2.2048
Ag -8.3588 -1.5121 6.0724
Ag -4.0311 8.4119 -4.6926
Ag -9.3311 -4.1236 2.2263
Ag -4.1069 -2.5506 -5.0501
Ag -8.5610 -1.1211 -5.8722
Ag -3.9774 1.3649 1.0563
Ag -4.9118 4.2346 -2.6111
Ag -8.4314 2.7943 0.2342
Ag -8.5073 -8.1681 -0.1233
Ag -3.2073 4.3673 -7.0422